Density functional theory data (PBE+U) for a relaxed NiIO3 crystal. Values from VASP.

The structure in Quantum ESPRESSO input format:
```
&SYSTEM
  ibrav = 0, nat = 5, ntyp = 3
/
ATOMIC_SPECIES
Ni 58.69 Ni.upf
I 126.90 I.upf
O 16.00 O.upf
ATOMIC_POSITIONS crystal
Ni 0.000 0.000 0.000
I 0.500 0.500 0.500
O 0.000 0.500 0.500
O 0.500 0.000 0.500
O 0.500 0.500 0.000
CELL_PARAMETERS angstrom
4.080 0.000 0.000
0.000 4.080 0.000
0.000 0.000 4.080
```

- Density: 5.7 g/cm3
- SG: Pm-3m
- Total energy: -3.28 eV/atom